(1)
The following is a PBE calculation of an optimized crystal structure of CaCu2Sn2, from the Alexandria database.

Cell: 8.0621 8.0621 3.2707 Å, 90.00 90.00 90.00°
With the nearest neighbours (Å) after each atom.
Fractional positions:
1 Ca 0.0000 0.0000 0.0000  4 Sn 3.11, 2 Ca 3.27, 8 Cu 3.47
2 Ca 0.5000 0.5000 0.0000  4 Sn 3.11, 2 Ca 3.27, 8 Cu 3.47
3 Cu 0.1522 0.3478 0.5000  6 Sn 2.87-2.88
4 Cu 0.3478 0.8478 0.5000  6 Sn 2.87-2.88
5 Cu 0.6522 0.1522 0.5000  6 Sn 2.87-2.88
6 Cu 0.8478 0.6522 0.5000  6 Sn 2.87-2.88
7 Sn 0.1400 0.6400 0.0000  6 Cu 2.87-2.88, 2 Ca 3.11, 1 Sn 3.19
8 Sn 0.3600 0.1400 0.0000  6 Cu 2.87-2.88, 2 Ca 3.11, 1 Sn 3.19
9 Sn 0.6400 0.8600 0.0000  6 Cu 2.87-2.88, 2 Ca 3.11, 1 Sn 3.19
10 Sn 0.8600 0.3600 0.0000  6 Cu 2.87-2.88, 2 Ca 3.11, 1 Sn 3.19

Computed properties:
Total energy = -36.7 eV/cell
Space group = P4/mbm, No. 127
Formation enthalpy at 0 K = -0.029 eV/atom

(2)
The following is a PBE calculation of an optimized crystal structure of Ca5Cu2Sn, from the Alexandria database.

Cell: 9.2882 9.2882 9.2882 Å, 129.94 129.94 73.50°
With the nearest neighbours (Å) after each atom.
Fractional positions:
1 Ca 0.0000 0.0000 0.0000  4 Cu 3.18
2 Ca 0.0346 0.5346 0.8488  3 Cu 3.10-3.17, 2 Sn 3.33
3 Ca 0.1859 0.0346 0.5000  3 Cu 3.10-3.17, 2 Sn 3.33
4 Ca 0.3141 0.8141 0.8488  3 Cu 3.10-3.17, 2 Sn 3.33
5 Ca 0.4654 0.3141 0.5000  3 Cu 3.10-3.17, 2 Sn 3.33
6 Ca 0.5000 0.5000 0.0000  4 Cu 3.18
7 Ca 0.5346 0.6859 0.5000  3 Cu 3.10-3.17, 2 Sn 3.33
8 Ca 0.6859 0.1859 0.1512  3 Cu 3.10-3.17, 2 Sn 3.33
9 Ca 0.8141 0.9654 0.5000  3 Cu 3.10-3.17, 2 Sn 3.33
10 Ca 0.9654 0.4654 0.1512  3 Cu 3.10-3.17, 2 Sn 3.33
11 Cu 0.1107 0.3893 0.5000  1 Cu 2.46
12 Cu 0.3893 0.8893 0.2786  1 Cu 2.46
13 Cu 0.6107 0.1107 0.7214  1 Cu 2.46
14 Cu 0.8893 0.6107 0.5000  1 Cu 2.46
15 Sn 0.2500 0.2500 0.0000  10 Ca 3.33-3.72
16 Sn 0.7500 0.7500 0.0000  10 Ca 3.33-3.72

Computed properties:
Total energy = -49.4 eV/cell
Space group = I4/mcm, No. 140
Formation enthalpy at 0 K = -0.312 eV/atom

(3)
The following is a PBE calculation of an optimized crystal structure of Ca4CuSn8, from the Alexandria database.

Cell: 4.5338 4.6553 16.7539 Å, 90.00 90.00 90.00°
With the nearest neighbours (Å) after each atom.
Fractional positions:
1 Ca 0.0000 0.0000 0.0000  10 Sn 3.26-3.44
2 Ca 0.0000 0.5000 0.4847  10 Sn 3.31-3.56
3 Ca 0.5000 0.0000 0.7934  8 Sn 3.46-3.60, 4 Cu 3.53
4 Ca 0.5000 0.5000 0.2994  10 Sn 3.28-3.44
5 Cu 0.0000 0.5000 0.7110  5 Sn 2.55-2.73
6 Sn 0.0000 0.0000 0.3242  2 Sn 3.07, 4 Ca 3.28
7 Sn 0.0000 0.0000 0.6262  2 Cu 2.73
8 Sn 0.0000 0.5000 0.1514  4 Sn 3.25, 4 Ca 3.36-3.44
9 Sn 0.0000 0.5000 0.8635  1 Cu 2.55
10 Sn 0.5000 0.0000 0.1485  4 Sn 3.25, 4 Ca 3.37-3.44
11 Sn 0.5000 0.0000 0.4473  2 Sn 3.07, 6 Ca 3.31-3.40
12 Sn 0.5000 0.5000 0.6300  2 Cu 2.64
13 Sn 0.5000 0.5000 0.9806  2 Sn 3.00, 4 Ca 3.27

Computed properties:
Total energy = -49.3 eV/cell
Space group = Pmm2, No. 25
Formation enthalpy at 0 K = -0.396 eV/atom

(4)
The following is a PBE calculation of an optimized crystal structure of CaCu2Sn, from the Alexandria database.

Cell: 4.2723 7.1808 6.1377 Å, 90.00 110.29 90.00°
With the nearest neighbours (Å) after each atom.
Fractional positions:
1 Ca 0.0759 0.2500 0.1541  6 Cu 3.01-3.25, 3 Sn 3.24-3.31
2 Ca 0.9241 0.7500 0.8459  6 Cu 3.01-3.25, 3 Sn 3.24-3.31
3 Cu 0.2390 0.5792 0.4779  3 Cu 2.43-2.45
4 Cu 0.2390 0.9208 0.4779  3 Cu 2.43-2.45
5 Cu 0.7610 0.0792 0.5221  3 Cu 2.43-2.45
6 Cu 0.7610 0.4208 0.5221  3 Cu 2.43-2.45
7 Sn 0.3646 0.2500 0.7298  6 Cu 2.74-2.77
8 Sn 0.6354 0.7500 0.2702  6 Cu 2.74-2.77

Computed properties:
Total energy = -30.1 eV/cell
Space group = P2_1/m, No. 11
Formation enthalpy at 0 K = -0.214 eV/atom

(5)
The following is a PBE calculation of an optimized crystal structure of CaCuSn, from the Alexandria database.

Cell: 4.5140 4.5140 6.9679 Å, 90.06 90.06 90.00°
With the nearest neighbours (Å) after each atom.
Fractional positions:
1 Ca 0.2497 0.2497 0.1892  4 Cu 3.12-3.13, 5 Sn 3.26-3.33
2 Ca 0.7503 0.7503 0.8108  4 Cu 3.12-3.13, 5 Sn 3.26-3.33
3 Cu 0.2509 0.7491 0.5000  4 Sn 2.70
4 Cu 0.7491 0.2509 0.5000  4 Sn 2.70
5 Sn 0.2496 0.2496 0.7118  4 Cu 2.70
6 Sn 0.7504 0.7504 0.2882  4 Cu 2.70

Computed properties:
Total energy = -22.7 eV/cell
Space group = C2/m, No. 12
Formation enthalpy at 0 K = -0.421 eV/atom

(6)
The following is a PBE calculation of an optimized crystal structure of CaCu9Sn4, from the Alexandria database.

Cell: 8.7568 8.7568 8.7568 Å, 120.56 120.56 89.04°
With the nearest neighbours (Å) after each atom.
Fractional positions:
1 Ca 0.2500 0.2500 0.0000  8 Sn 3.52, 16 Cu 3.61-3.66
2 Ca 0.7500 0.7500 0.0000  8 Sn 3.52, 16 Cu 3.61-3.66
3 Cu 0.0000 0.5000 0.5000  8 Cu 2.54-2.63, 4 Sn 2.78
4 Cu 0.0544 0.7983 0.8527  5 Cu 2.56-2.77, 4 Sn 2.75-2.79
5 Cu 0.0667 0.5667 0.2849  6 Cu 2.54-2.77, 4 Sn 2.60-2.71
6 Cu 0.2017 0.0544 0.2561  5 Cu 2.56-2.77, 4 Sn 2.75-2.79
7 Cu 0.2182 0.9333 0.5000  6 Cu 2.54-2.77, 4 Sn 2.60-2.71
8 Cu 0.2818 0.7818 0.7151  6 Cu 2.54-2.77, 4 Sn 2.60-2.71
9 Cu 0.2983 0.5544 0.8527  5 Cu 2.56-2.77, 4 Sn 2.75-2.79
10 Cu 0.4333 0.7182 0.5000  6 Cu 2.54-2.77, 4 Sn 2.60-2.71
11 Cu 0.4456 0.2983 0.7439  5 Cu 2.56-2.77, 4 Sn 2.75-2.79
12 Cu 0.5000 0.0000 0.5000  8 Cu 2.54-2.63, 4 Sn 2.78
13 Cu 0.5544 0.7017 0.2561  5 Cu 2.56-2.77, 4 Sn 2.75-2.79
14 Cu 0.5667 0.2818 0.5000  6 Cu 2.54-2.77, 4 Sn 2.60-2.71
15 Cu 0.7017 0.4456 0.1473  5 Cu 2.56-2.77, 4 Sn 2.75-2.79
16 Cu 0.7182 0.2182 0.2849  6 Cu 2.54-2.77, 4 Sn 2.60-2.71
17 Cu 0.7818 0.0667 0.5000  6 Cu 2.54-2.77, 4 Sn 2.60-2.71
18 Cu 0.7983 0.9456 0.7439  5 Cu 2.56-2.77, 4 Sn 2.75-2.79
19 Cu 0.9333 0.4333 0.7151  6 Cu 2.54-2.77, 4 Sn 2.60-2.71
20 Cu 0.9456 0.2017 0.1473  5 Cu 2.56-2.77, 4 Sn 2.75-2.79
21 Sn 0.0601 0.1874 0.5000  9 Cu 2.60-2.79
22 Sn 0.1874 0.6874 0.1273  9 Cu 2.60-2.79
23 Sn 0.3126 0.4399 0.5000  9 Cu 2.60-2.79
24 Sn 0.4399 0.9399 0.1273  9 Cu 2.60-2.79
25 Sn 0.5601 0.0601 0.8727  9 Cu 2.60-2.79
26 Sn 0.6874 0.5601 0.5000  9 Cu 2.60-2.79
27 Sn 0.8126 0.3126 0.8727  9 Cu 2.60-2.79
28 Sn 0.9399 0.8126 0.5000  9 Cu 2.60-2.79

Computed properties:
Total energy = -113.1 eV/cell
Space group = I4/mcm, No. 140
Formation enthalpy at 0 K = -0.121 eV/atom

(7)
The following is a PBE calculation of an optimized crystal structure of CaCu2Sn, from the Alexandria database.

Cell: 9.4623 9.4623 9.4623 Å, 150.73 150.73 41.87°
With the nearest neighbours (Å) after each atom.
Fractional positions:
1 Ca 0.3750 0.6250 0.7500  4 Sn 3.38, 8 Cu 3.47
2 Ca 0.6250 0.3750 0.2500  4 Sn 3.38, 8 Cu 3.47
3 Cu 0.0000 0.0000 0.0000  2 Cu 2.39, 2 Sn 2.51
4 Cu 0.0000 0.0000 0.5000  2 Cu 2.39, 2 Sn 2.51
5 Cu 0.0000 0.5000 0.0000  2 Cu 2.39, 2 Sn 2.51
6 Cu 0.5000 0.0000 0.5000  2 Cu 2.39, 2 Sn 2.51
7 Sn 0.1250 0.8750 0.2500  4 Cu 2.51
8 Sn 0.8750 0.1250 0.7500  4 Cu 2.51

Computed properties:
Total energy = -28.7 eV/cell
Space group = I4_1/amd, No. 141
Formation enthalpy at 0 K = -0.035 eV/atom

(8)
The following is a PBE calculation of an optimized crystal structure of CaCuSn, from the Alexandria database.

Cell: 4.6524 4.6524 3.6615 Å, 90.00 90.00 120.00°
With the nearest neighbours (Å) after each atom.
Fractional positions:
1 Ca 0.0000 0.0000 0.0000  6 Sn 3.25, 6 Cu 3.25
2 Cu 0.3333 0.6667 0.5000  3 Sn 2.69
3 Sn 0.6667 0.3333 0.5000  3 Cu 2.69

Computed properties:
Total energy = -11.4 eV/cell
Space group = P-6m2, No. 187
Formation enthalpy at 0 K = -0.444 eV/atom

no.,mass density (kg/m3)
1,6321
2,3224
3,5511
4,5376
5,5201
6,7668
7,4700
8,5379